1.
The following is a DFT calculation (GGA-PBE) of an optimized crystal structure of Li7ZnAg2.

Cell and atoms, written as CIF:
```
data_Li7ZnAg2
_cell_length_a 4.493
_cell_length_b 4.493
_cell_length_c 9.870
_cell_angle_alpha 90.00
_cell_angle_beta 90.00
_cell_angle_gamma 120.00
_space_group_name_H-M_alt 'P 1'
_space_group_IT_number 1
loop_
_space_group_symop_operation_xyz
'x,y,z'
loop_
_atom_site_label
_atom_site_type_symbol
_atom_site_fract_x
_atom_site_fract_y
_atom_site_fract_z
_atom_site_occupancy
Li1 Li 0.333 0.667 0.392 1
Li2 Li 0.333 0.667 0.147 1
Li3 Li 0.000 0.000 0.354 1
Li4 Li 0.000 0.000 0.745 1
Li5 Li 0.667 0.333 0.551 1
Li6 Li 0.667 0.333 0.951 1
Li7 Li 0.333 0.667 0.899 1
Zn1 Zn 0.000 0.000 0.065 1
Ag1 Ag 0.667 0.333 0.236 1
Ag2 Ag 0.333 0.667 0.646 1
```

Values from the calculation:
Final energy (eV per formula unit): -21.125
Symmetry: P3m1
Formation enthalpy at 0 K (eV per formula unit): -0.8
DOS at the Fermi energy (states/eV/cell): 4.55

2.
The following is a DFT calculation (GGA-PBE) of an optimized crystal structure of LiZn2Ag2.

Cell and atoms, written as CIF:
```
data_LiZn2Ag2
_cell_length_a 3.800
_cell_length_b 4.987
_cell_length_c 10.152
_cell_angle_alpha 62.82
_cell_angle_beta 79.21
_cell_angle_gamma 67.60
_space_group_name_H-M_alt 'P 1'
_space_group_IT_number 1
loop_
_space_group_symop_operation_xyz
'x,y,z'
loop_
_atom_site_label
_atom_site_type_symbol
_atom_site_fract_x
_atom_site_fract_y
_atom_site_fract_z
_atom_site_occupancy
Li1 Li 0.249 0.254 0.248 1
Li2 Li 0.751 0.746 0.752 1
Zn1 Zn 0.655 0.245 0.446 1
Zn2 Zn 0.554 0.741 0.152 1
Zn3 Zn 0.345 0.755 0.554 1
Zn4 Zn 0.446 0.259 0.848 1
Ag1 Ag 0.051 0.249 0.649 1
Ag2 Ag 0.851 0.244 0.053 1
Ag3 Ag 0.949 0.751 0.351 1
Ag4 Ag 0.149 0.756 0.947 1
```

Values from the calculation:
Final energy (eV per formula unit): -10.856
Symmetry: C2/m
Formation enthalpy at 0 K (eV per formula unit): -0.7
DOS at the Fermi energy (states/eV/cell): 2.41

3.
The following is a DFT calculation (GGA-PBE) of an optimized crystal structure of Li2Zn2Ag7.

Cell and atoms, written as CIF:
```
data_Li2Zn2Ag7
_cell_length_a 6.899
_cell_length_b 5.261
_cell_length_c 5.261
_cell_angle_alpha 96.28
_cell_angle_beta 80.68
_cell_angle_gamma 80.68
_space_group_name_H-M_alt 'P 1'
_space_group_IT_number 1
loop_
_space_group_symop_operation_xyz
'x,y,z'
loop_
_atom_site_label
_atom_site_type_symbol
_atom_site_fract_x
_atom_site_fract_y
_atom_site_fract_z
_atom_site_occupancy
Li1 Li 0.500 0.307 0.693 1
Li2 Li 0.500 0.693 0.307 1
Zn1 Zn 0.849 0.392 0.392 1
Zn2 Zn 0.151 0.608 0.608 1
Ag1 Ag 0.197 0.093 0.469 1
Ag2 Ag 0.803 0.531 0.907 1
Ag3 Ag 0.803 0.907 0.531 1
Ag4 Ag 0.197 0.469 0.093 1
Ag5 Ag 0.000 0.000 0.000 1
Ag6 Ag 0.423 0.832 0.832 1
Ag7 Ag 0.577 0.168 0.168 1
```

Values from the calculation:
Final energy (eV per formula unit): -27.148
Symmetry: C2/m
Formation enthalpy at 0 K (eV per formula unit): -0.8
DOS at the Fermi energy (states/eV/cell): 2.23

4.
The following is a DFT calculation (GGA-PBE) of an optimized crystal structure of LiZn2Ag8.

Cell and atoms, written as CIF:
```
data_LiZn2Ag8
_cell_length_a 4.775
_cell_length_b 7.167
_cell_length_c 7.167
_cell_angle_alpha 117.25
_cell_angle_beta 102.94
_cell_angle_gamma 102.94
_space_group_name_H-M_alt 'P 1'
_space_group_IT_number 1
loop_
_space_group_symop_operation_xyz
'x,y,z'
loop_
_atom_site_label
_atom_site_type_symbol
_atom_site_fract_x
_atom_site_fract_y
_atom_site_fract_z
_atom_site_occupancy
Li1 Li 0.500 0.000 0.000 1
Zn1 Zn 0.000 0.308 0.692 1
Zn2 Zn 0.000 0.692 0.308 1
Ag1 Ag 0.883 0.910 0.676 1
Ag2 Ag 0.883 0.676 0.910 1
Ag3 Ag 0.316 0.606 0.606 1
Ag4 Ag 0.500 0.784 0.216 1
Ag5 Ag 0.500 0.216 0.784 1
Ag6 Ag 0.684 0.394 0.394 1
Ag7 Ag 0.117 0.324 0.090 1
Ag8 Ag 0.117 0.090 0.324 1
```

Values from the calculation:
Final energy (eV per formula unit): -27.014
Symmetry: C2/m
Formation enthalpy at 0 K (eV per formula unit): 0.3
DOS at the Fermi energy (states/eV/cell): 3.50

5.
The following is a DFT calculation (GGA-PBE) of an optimized crystal structure of Li2Zn8Ag.

Cell and atoms, written as CIF:
```
data_Li2Zn8Ag
_cell_length_a 4.704
_cell_length_b 7.241
_cell_length_c 7.773
_cell_angle_alpha 62.24
_cell_angle_beta 71.72
_cell_angle_gamma 47.66
_space_group_name_H-M_alt 'P 1'
_space_group_IT_number 1
loop_
_space_group_symop_operation_xyz
'x,y,z'
loop_
_atom_site_label
_atom_site_type_symbol
_atom_site_fract_x
_atom_site_fract_y
_atom_site_fract_z
_atom_site_occupancy
Li1 Li 0.000 0.314 0.371 1
Li2 Li 0.000 0.686 0.629 1
Zn1 Zn 0.766 0.098 0.278 1
Zn2 Zn 0.766 0.376 0.722 1
Zn3 Zn 0.232 0.514 0.000 1
Zn4 Zn 0.500 0.803 0.394 1
Zn5 Zn 0.500 0.197 0.606 1
Zn6 Zn 0.768 0.486 0.000 1
Zn7 Zn 0.234 0.624 0.278 1
Zn8 Zn 0.234 0.902 0.722 1
Ag1 Ag 0.500 0.000 0.000 1
```

Values from the calculation:
Final energy (eV per formula unit): -17.382
Symmetry: C2/m
Formation enthalpy at 0 K (eV per formula unit): -0.5
DOS at the Fermi energy (states/eV/cell): 2.49

6.
The following is a DFT calculation (GGA-PBE) of an optimized crystal structure of Li5ZnAg6.

Cell and atoms, written as CIF:
```
data_Li5ZnAg6
_cell_length_a 5.018
_cell_length_b 9.108
_cell_length_c 6.364
_cell_angle_alpha 44.31
_cell_angle_beta 81.41
_cell_angle_gamma 77.95
_space_group_name_H-M_alt 'P 1'
_space_group_IT_number 1
loop_
_space_group_symop_operation_xyz
'x,y,z'
loop_
_atom_site_label
_atom_site_type_symbol
_atom_site_fract_x
_atom_site_fract_y
_atom_site_fract_z
_atom_site_occupancy
Li1 Li 0.500 0.162 0.676 1
Li2 Li 0.000 0.327 0.345 1
Li3 Li 0.500 0.500 0.000 1
Li4 Li 0.000 0.673 0.655 1
Li5 Li 0.500 0.838 0.324 1
Zn1 Zn 0.000 0.000 0.000 1
Ag1 Ag 0.747 0.081 0.333 1
Ag2 Ag 0.253 0.585 0.333 1
Ag3 Ag 0.243 0.252 0.000 1
Ag4 Ag 0.757 0.748 0.000 1
Ag5 Ag 0.747 0.415 0.667 1
Ag6 Ag 0.253 0.919 0.667 1
```

Values from the calculation:
Final energy (eV per formula unit): -29.733
Symmetry: C2/m
Formation enthalpy at 0 K (eV per formula unit): -1.8
DOS at the Fermi energy (states/eV/cell): 3.07

7.
The following is a DFT calculation (GGA-PBE) of an optimized crystal structure of Li2Zn4Ag5.

Cell and atoms, written as CIF:
```
data_Li2Zn4Ag5
_cell_length_a 4.457
_cell_length_b 5.404
_cell_length_c 7.655
_cell_angle_alpha 88.50
_cell_angle_beta 106.93
_cell_angle_gamma 90.00
_space_group_name_H-M_alt 'P 1'
_space_group_IT_number 1
loop_
_space_group_symop_operation_xyz
'x,y,z'
loop_
_atom_site_label
_atom_site_type_symbol
_atom_site_fract_x
_atom_site_fract_y
_atom_site_fract_z
_atom_site_occupancy
Li1 Li 0.407 0.453 0.813 1
Li2 Li 0.593 0.547 0.187 1
Zn1 Zn 0.321 0.903 0.641 1
Zn2 Zn 0.958 0.717 0.915 1
Zn3 Zn 0.679 0.097 0.359 1
Zn4 Zn 0.042 0.283 0.085 1
Ag1 Ag 0.775 0.651 0.551 1
Ag2 Ag 0.225 0.349 0.449 1
Ag3 Ag 0.864 0.174 0.727 1
Ag4 Ag 0.500 0.000 0.000 1
Ag5 Ag 0.136 0.826 0.273 1
```

Values from the calculation:
Final energy (eV per formula unit): -24.502
Symmetry: C2/m
Formation enthalpy at 0 K (eV per formula unit): -1.3
DOS at the Fermi energy (states/eV/cell): 2.48

8.
The following is a DFT calculation (GGA-PBE) of an optimized crystal structure of Li2Zn2Ag.

Cell and atoms, written as CIF:
```
data_Li2Zn2Ag
_cell_length_a 7.139
_cell_length_b 7.139
_cell_length_c 3.036
_cell_angle_alpha 90.00
_cell_angle_beta 90.00
_cell_angle_gamma 90.00
_space_group_name_H-M_alt 'P 1'
_space_group_IT_number 1
loop_
_space_group_symop_operation_xyz
'x,y,z'
loop_
_atom_site_label
_atom_site_type_symbol
_atom_site_fract_x
_atom_site_fract_y
_atom_site_fract_z
_atom_site_occupancy
Zn1 Zn 0.372 0.872 0.000 1
Zn2 Zn 0.872 0.628 0.000 1
Zn3 Zn 0.628 0.128 0.000 1
Zn4 Zn 0.128 0.372 0.000 1
Ag1 Ag 0.000 0.000 0.000 1
Ag2 Ag 0.500 0.500 0.000 1
Li1 Li 0.170 0.670 0.500 1
Li2 Li 0.670 0.830 0.500 1
Li3 Li 0.830 0.330 0.500 1
Li4 Li 0.330 0.170 0.500 1
```

Values from the calculation:
Final energy (eV per formula unit): -9.833
Symmetry: P4/mbm
Formation enthalpy at 0 K (eV per formula unit): -0.6
DOS at the Fermi energy (states/eV/cell): 3.32

9.
The following is a DFT calculation (GGA-PBE) of an optimized crystal structure of LiZnAg2.

Cell and atoms, written as CIF:
```
data_LiZnAg2
_cell_length_a 9.413
_cell_length_b 9.413
_cell_length_c 9.413
_cell_angle_alpha 17.64
_cell_angle_beta 17.64
_cell_angle_gamma 17.64
_space_group_name_H-M_alt 'P 1'
_space_group_IT_number 1
loop_
_space_group_symop_operation_xyz
'x,y,z'
loop_
_atom_site_label
_atom_site_type_symbol
_atom_site_fract_x
_atom_site_fract_y
_atom_site_fract_z
_atom_site_occupancy
Ag1 Ag 0.003 0.003 0.003 1
Ag2 Ag 0.246 0.246 0.246 1
Li1 Li 0.500 0.500 0.500 1
Zn1 Zn 0.751 0.751 0.751 1
```

Values from the calculation:
Final energy (eV per formula unit): -9.161
Symmetry: R3m
Formation enthalpy at 0 K (eV per formula unit): -0.3
DOS at the Fermi energy (states/eV/cell): 1.15

10.
The following is a DFT calculation (GGA-PBE) of an optimized crystal structure of Li5ZnAg4.

Cell and atoms, written as CIF:
```
data_Li5ZnAg4
_cell_length_a 3.230
_cell_length_b 3.230
_cell_length_c 15.117
_cell_angle_alpha 90.00
_cell_angle_beta 90.00
_cell_angle_gamma 90.00
_space_group_name_H-M_alt 'P 1'
_space_group_IT_number 1
loop_
_space_group_symop_operation_xyz
'x,y,z'
loop_
_atom_site_label
_atom_site_type_symbol
_atom_site_fract_x
_atom_site_fract_y
_atom_site_fract_z
_atom_site_occupancy
Li1 Li 0.500 0.500 0.097 1
Li2 Li 0.500 0.500 0.297 1
Li3 Li 0.500 0.500 0.500 1
Li4 Li 0.500 0.500 0.703 1
Li5 Li 0.500 0.500 0.903 1
Zn1 Zn 0.000 0.000 0.000 1
Ag1 Ag 0.000 0.000 0.195 1
Ag2 Ag 0.000 0.000 0.398 1
Ag3 Ag 0.000 0.000 0.602 1
Ag4 Ag 0.000 0.000 0.805 1
```

Values from the calculation:
Final energy (eV per formula unit): -24.274
Symmetry: P4/mmm
Formation enthalpy at 0 K (eV per formula unit): -2.0
DOS at the Fermi energy (states/eV/cell): 1.94

What did the seventh record say?
The following is a DFT calculation (GGA-PBE) of an optimized crystal structure of Li2Zn4Ag5.

Cell and atoms, written as CIF:
```
data_Li2Zn4Ag5
_cell_length_a 4.457
_cell_length_b 5.404
_cell_length_c 7.655
_cell_angle_alpha 88.50
_cell_angle_beta 106.93
_cell_angle_gamma 90.00
_space_group_name_H-M_alt 'P 1'
_space_group_IT_number 1
loop_
_space_group_symop_operation_xyz
'x,y,z'
loop_
_atom_site_label
_atom_site_type_symbol
_atom_site_fract_x
_atom_site_fract_y
_atom_site_fract_z
_atom_site_occupancy
Li1 Li 0.407 0.453 0.813 1
Li2 Li 0.593 0.547 0.187 1
Zn1 Zn 0.321 0.903 0.641 1
Zn2 Zn 0.958 0.717 0.915 1
Zn3 Zn 0.679 0.097 0.359 1
Zn4 Zn 0.042 0.283 0.085 1
Ag1 Ag 0.775 0.651 0.551 1
Ag2 Ag 0.225 0.349 0.449 1
Ag3 Ag 0.864 0.174 0.727 1
Ag4 Ag 0.500 0.000 0.000 1
Ag5 Ag 0.136 0.826 0.273 1
```

Values from the calculation:
Final energy (eV per formula unit): -24.502
Symmetry: C2/m
Formation enthalpy at 0 K (eV per formula unit): -1.3
DOS at the Fermi energy (states/eV/cell): 2.48